This record from the Alexandria database describes a relaxed KAl2Pt crystal. The functional is PBE.

Output
Formation energy in kJ/mol of formula units: 108
E_tot in eV/atom: -3.38
N(E_F) in states/eV/f.u.: 1.9
SG: Pmmm

Cell and atoms, written as POSCAR:
```
KAl2Pt
1.0
4.279 0.000 0.000
0.000 4.290 0.000
0.000 0.000 4.460
Al K Pt
2 1 1
Direct
0.500 0.500 0.000
0.000 0.000 0.000
0.500 0.000 0.500
0.000 0.500 0.500
```